Record 1
DFT (PBE) results for a relaxed Sr2VAs2 crystal.

Lattice parameters (Å, degrees): 7.4591 7.4591 4.5833 90.00 90.00 90.00
Fractional coordinates of all 10 atoms:
1 Sr 0.1554 0.3446 0.0000
2 Sr 0.3446 0.8446 0.0000
3 Sr 0.6554 0.1554 0.0000
4 Sr 0.8446 0.6554 0.0000
5 V 0.0000 0.0000 0.5000
6 V 0.5000 0.5000 0.5000
7 As 0.1595 0.6595 0.5000
8 As 0.3405 0.1595 0.5000
9 As 0.6595 0.8405 0.5000
10 As 0.8405 0.3405 0.5000

Properties
energy of formation from the pure elements: -0.55 eV per atom
space-group type: P4/mbm
total energy: -24.54 eV per formula unit
N(E_F): 6.51 states/eV per cell
crystal system: tetragonal

Record 2
DFT (PBE) results for a relaxed CaFe3Rh crystal.

Lattice parameters (Å, degrees): 4.6969 4.6969 4.6969 90.00 90.00 90.00
Fractional coordinates of all 5 atoms:
1 Ca 0.0000 0.0000 0.0000
2 Fe 0.0000 0.5000 0.5000
3 Fe 0.5000 0.0000 0.5000
4 Fe 0.5000 0.5000 0.0000
5 Rh 0.5000 0.5000 0.5000

Properties
energy of formation from the pure elements: 0.71 eV per atom
energy relative to the lowest polymorph listed for this composition: 0.00 eV/f.u.
space-group type: Pm-3m
total energy: -31.18 eV per formula unit
N(E_F): 4.27 states/eV per cell
crystal system: cubic

Record 3
DFT (PBE) results for a relaxed Sc2MnCd crystal.

Lattice parameters (Å, degrees): 6.8001 6.8001 6.8001 90.00 90.00 90.00
Fractional coordinates of all 16 atoms:
1 Sc 0.0000 0.0000 0.0000
2 Sc 0.0000 0.5000 0.5000
3 Sc 0.2500 0.2500 0.2500
4 Sc 0.2500 0.7500 0.7500
5 Sc 0.5000 0.0000 0.5000
6 Sc 0.5000 0.5000 0.0000
7 Sc 0.7500 0.2500 0.7500
8 Sc 0.7500 0.7500 0.2500
9 Mn 0.2500 0.2500 0.7500
10 Mn 0.2500 0.7500 0.2500
11 Mn 0.7500 0.2500 0.2500
12 Mn 0.7500 0.7500 0.7500
13 Cd 0.0000 0.0000 0.5000
14 Cd 0.0000 0.5000 0.0000
15 Cd 0.5000 0.0000 0.0000
16 Cd 0.5000 0.5000 0.5000

Properties
energy of formation from the pure elements: 0.06 eV per atom
space-group type: F-43m
total energy: -22.50 eV per formula unit
N(E_F): 24.16 states/eV per cell
crystal system: cubic

Record 4
DFT (PBE) results for a relaxed Mg4CrRu crystal.

Lattice parameters (Å, degrees): 5.3946 5.3946 5.3946 60.00 60.00 60.00
Fractional coordinates of all 6 atoms:
1 Mg 0.1244 0.1244 0.1244
2 Mg 0.1244 0.1244 0.6268
3 Mg 0.1244 0.6268 0.1244
4 Mg 0.6268 0.1244 0.1244
5 Cr 0.5000 0.5000 0.5000
6 Ru 0.7500 0.7500 0.7500

Properties
energy of formation from the pure elements: 0.54 eV per atom
space-group type: F-43m
total energy: -22.04 eV per formula unit
N(E_F): 6.01 states/eV per cell
crystal system: cubic

Record 5
DFT (PBE) results for a relaxed CaHBr crystal.

Lattice parameters (Å, degrees): 3.8175 3.8230 9.3547 90.00 101.41 90.00
Fractional coordinates of all 6 atoms:
1 Ca 0.1808 0.2500 0.3576
2 Ca 0.8192 0.7500 0.6424
3 H 0.2502 0.7500 0.4999
4 H 0.7498 0.2500 0.5001
5 Br 0.3921 0.2500 0.7928
6 Br 0.6079 0.7500 0.2072

Properties
space-group type: P2_1/m
total energy: -11.04 eV per formula unit
N(E_F): 0.00 states/eV per cell
crystal system: monoclinic

Record 6
DFT (PBE) results for a relaxed Li2NdBi2 crystal.

Lattice parameters (Å, degrees): 7.5832 7.5832 6.4129 114.44 114.44 98.07
Fractional coordinates of all 10 atoms:
1 Li 0.0178 0.2982 0.0022
2 Li 0.2982 0.0178 0.5022
3 Li 0.7018 0.9822 0.4978
4 Li 0.9822 0.7018 0.9978
5 Nd 0.3649 0.6351 0.7500
6 Nd 0.6351 0.3649 0.2500
7 Bi 0.0773 0.9227 0.7500
8 Bi 0.3578 0.6422 0.2500
9 Bi 0.6422 0.3578 0.7500
10 Bi 0.9227 0.0773 0.2500

Properties
energy of formation from the pure elements: -0.49 eV per atom
energy relative to the lowest polymorph listed for this composition: 0.44 eV/f.u.
space-group type: C2/c
total energy: -18.78 eV per formula unit
N(E_F): 2.58 states/eV per cell
crystal system: monoclinic

Record 7
DFT (PBE) results for a relaxed Nd2Zn3GaPd4 crystal.

Lattice parameters (Å, degrees): 4.2572 4.2572 10.6397 90.00 90.00 90.00
Fractional coordinates of all 10 atoms:
1 Nd 0.0000 0.5000 0.2456
2 Nd 0.5000 0.0000 0.7544
3 Zn 0.0000 0.5000 0.8677
4 Zn 0.5000 0.0000 0.1323
5 Zn 0.5000 0.5000 0.5000
6 Ga 0.0000 0.0000 0.5000
7 Pd 0.0000 0.0000 0.0000
8 Pd 0.0000 0.5000 0.6332
9 Pd 0.5000 0.0000 0.3668
10 Pd 0.5000 0.5000 0.0000

Properties
energy of formation from the pure elements: -0.65 eV per atom
space-group type: P-4m2
total energy: -43.68 eV per formula unit
N(E_F): 4.12 states/eV per cell
crystal system: tetragonal

Record 8
DFT (PBE) results for a relaxed CaTb4Pm crystal.

Lattice parameters (Å, degrees): 6.6927 6.6927 6.6927 60.00 60.00 60.00
Fractional coordinates of all 6 atoms:
1 Ca 0.0000 0.0000 0.0000
2 Tb 0.3763 0.3763 0.3763
3 Tb 0.3763 0.3763 0.8710
4 Tb 0.3763 0.8710 0.3763
5 Tb 0.8710 0.3763 0.3763
6 Pm 0.7500 0.7500 0.7500

Properties
energy of formation from the pure elements: 0.21 eV per atom
energy relative to the lowest polymorph listed for this composition: 0.99 eV/f.u.
space-group type: F-43m
total energy: -24.01 eV per formula unit
N(E_F): 7.02 states/eV per cell
crystal system: cubic

Record 9
DFT (PBE) results for a relaxed CaGeOsO6 crystal.

Lattice parameters (Å, degrees): 5.1273 5.1273 10.1219 90.00 90.00 120.00
Fractional coordinates of all 18 atoms:
1 Ca 0.0000 0.0000 0.0000
2 Ca 0.0000 0.0000 0.5000
3 Ge 0.3333 0.6667 0.2500
4 Ge 0.6667 0.3333 0.7500
5 Os 0.3333 0.6667 0.7500
6 Os 0.6667 0.3333 0.2500
7 O 0.0021 0.3725 0.1455
8 O 0.0021 0.6296 0.3545
9 O 0.3704 0.3725 0.3545
10 O 0.3704 0.9979 0.1455
11 O 0.3725 0.0021 0.6455
12 O 0.3725 0.3704 0.8545
13 O 0.6275 0.6296 0.1455
14 O 0.6275 0.9979 0.3545
15 O 0.6296 0.0021 0.8545
16 O 0.6296 0.6275 0.6455
17 O 0.9979 0.3704 0.6455
18 O 0.9979 0.6275 0.8545

Properties
space-group type: P-31c
total energy: -62.74 eV per formula unit
E_form (uncorrected): -1683 meV per atom
N(E_F): 8.99 states/eV per cell
crystal system: trigonal

Record 10
DFT (PBE) results for a relaxed LaZrTe3 crystal.

Lattice parameters (Å, degrees): 8.9769 6.6561 11.5684 90.00 95.58 90.00
Fractional coordinates of all 20 atoms:
1 La 0.2074 0.1863 0.2687
2 La 0.2074 0.3137 0.7687
3 La 0.7926 0.6863 0.2313
4 La 0.7926 0.8137 0.7313
5 Zr 0.4310 0.7251 0.4385
6 Zr 0.4310 0.7749 0.9385
7 Zr 0.5690 0.2251 0.0615
8 Zr 0.5690 0.2749 0.5615
9 Te 0.1262 0.6449 0.3418
10 Te 0.1262 0.8551 0.8418
11 Te 0.2786 0.0837 0.5339
12 Te 0.2786 0.4163 0.0339
13 Te 0.4526 0.6154 0.6799
14 Te 0.4526 0.8846 0.1799
15 Te 0.5474 0.1154 0.8201
16 Te 0.5474 0.3846 0.3201
17 Te 0.7214 0.5837 0.9661
18 Te 0.7214 0.9163 0.4661
19 Te 0.8738 0.1449 0.1582
20 Te 0.8738 0.3551 0.6582

Properties
energy relative to the lowest polymorph listed for this composition: 0.29 eV/f.u.
space-group type: P2_1/c
total energy: -28.60 eV per formula unit
E_form (uncorrected): -1140 meV per atom
N(E_F): 6.09 states/eV per cell
crystal system: monoclinic

Record 11
DFT (PBE) results for a relaxed Si2AsBr crystal.

Lattice parameters (Å, degrees): 3.7176 3.7176 24.1283 90.00 90.00 120.00
Fractional coordinates of all 12 atoms:
1 Si 0.0000 0.0000 0.0000
2 Si 0.0000 0.0000 0.2752
3 Si 0.3333 0.6667 0.6667
4 Si 0.3333 0.6667 0.9418
5 Si 0.6667 0.3333 0.3333
6 Si 0.6667 0.3333 0.6085
7 As 0.0000 0.0000 0.7174
8 As 0.3333 0.6667 0.3841
9 As 0.6667 0.3333 0.0508
10 Br 0.0000 0.0000 0.5382
11 Br 0.3333 0.6667 0.2049
12 Br 0.6667 0.3333 0.8715

Properties
energy relative to the lowest polymorph listed for this composition: 0.00 eV/f.u.
space-group type: R3m
total energy: -16.94 eV per formula unit
E_form (uncorrected): 57 meV per atom
N(E_F): 1.49 states/eV per cell
crystal system: trigonal

Record 12
DFT (PBE) results for a relaxed TlZn2Br crystal.

Lattice parameters (Å, degrees): 3.9715 3.9715 22.2631 90.00 90.00 120.00
Fractional coordinates of all 12 atoms:
1 Tl 0.0000 0.0000 0.0000
2 Tl 0.3333 0.6667 0.6667
3 Tl 0.6667 0.3333 0.3333
4 Zn 0.0000 0.0000 0.2508
5 Zn 0.0000 0.0000 0.7492
6 Zn 0.3333 0.6667 0.4159
7 Zn 0.3333 0.6667 0.9175
8 Zn 0.6667 0.3333 0.0825
9 Zn 0.6667 0.3333 0.5841
10 Br 0.0000 0.0000 0.5000
11 Br 0.3333 0.6667 0.1667
12 Br 0.6667 0.3333 0.8333

Properties
energy relative to the lowest polymorph listed for this composition: 0.46 eV/f.u.
space-group type: R-3m
total energy: -6.71 eV per formula unit
E_form (uncorrected): -31 meV per atom
N(E_F): 3.41 states/eV per cell
crystal system: trigonal